1.
A plane-wave DFT calculation with PBE was carried out for an optimized crystal structure of Er2ZnGa6.

Cell: 3.308 7.359 8.416 Å, 115.93 96.62 90.00°
Sites, in units of the cell vectors:
Er (0.510, 0.700, 0.400)
Er (0.490, 0.300, 0.600)
Zn (0.000, 0.000, 0.000)
Ga (0.956, 0.324, 0.288)
Ga (0.044, 0.037, 0.712)
Ga (0.044, 0.676, 0.712)
Ga (0.500, 0.320, 0.000)
Ga (0.956, 0.963, 0.288)
Ga (0.500, 0.680, 0.000)

Properties
ΔE_f ... -25.24 kJ per mole of atoms
Symmetry ... C2/m (12)

2.
A plane-wave DFT calculation with PBE was carried out for an optimized crystal structure of Er3Zn2Ga9.

Cell: 4.180 8.252 8.252 Å, 75.12 75.33 75.33°
Sites, in units of the cell vectors:
Er (0.000, 0.000, 0.000)
Er (0.681, 0.319, 0.319)
Er (0.319, 0.681, 0.681)
Zn (0.500, 0.289, 0.711)
Zn (0.500, 0.711, 0.289)
Ga (0.000, 0.500, 0.500)
Ga (0.661, 0.964, 0.714)
Ga (0.339, 0.036, 0.286)
Ga (0.661, 0.714, 0.964)
Ga (0.339, 0.286, 0.036)
Ga (0.859, 0.864, 0.417)
Ga (0.141, 0.136, 0.583)
Ga (0.859, 0.417, 0.864)
Ga (0.141, 0.583, 0.136)

Properties
ΔE_f ... -40.43 kJ per mole of atoms
Symmetry ... Immm (71)

3.
A plane-wave DFT calculation with PBE was carried out for an optimized crystal structure of ErZnGa.

Cell: 3.524 4.407 4.407 Å, 120.00 90.00 90.00°
Sites, in units of the cell vectors:
Zn (0.167, 0.000, 0.000)
Ga (0.167, 0.333, 0.667)
Er (0.667, 0.667, 0.333)

Properties
ΔE_f ... -52.82 kJ per mole of atoms
Symmetry ... P-6m2 (187)

4.
A plane-wave DFT calculation with PBE was carried out for an optimized crystal structure of Er3Zn3Ga8.

Cell: 4.199 8.209 8.209 Å, 74.50 75.18 75.18°
Sites, in units of the cell vectors:
Er (0.500, 0.500, 0.500)
Er (0.812, 0.188, 0.188)
Er (0.188, 0.812, 0.812)
Zn (0.500, 0.000, 0.000)
Zn (0.000, 0.801, 0.199)
Zn (0.000, 0.199, 0.801)
Ga (0.640, 0.079, 0.642)
Ga (0.360, 0.921, 0.358)
Ga (0.640, 0.642, 0.079)
Ga (0.360, 0.358, 0.921)
Ga (0.843, 0.784, 0.530)
Ga (0.157, 0.216, 0.470)
Ga (0.843, 0.530, 0.784)
Ga (0.157, 0.470, 0.216)

Properties
ΔE_f ... -39.92 kJ per mole of atoms
Symmetry ... Immm (71)

5.
A plane-wave DFT calculation with PBE was carried out for an optimized crystal structure of Er3Zn4Ga4.

Cell: 4.300 6.776 8.177 Å, 114.48 105.24 90.00°
Sites, in units of the cell vectors:
Er (0.125, 0.125, 0.250)
Er (0.875, 0.875, 0.750)
Er (0.000, 0.500, 0.000)
Zn (0.334, 0.145, 0.668)
Zn (0.666, 0.477, 0.332)
Zn (0.666, 0.855, 0.332)
Zn (0.334, 0.523, 0.668)
Ga (0.219, 0.719, 0.439)
Ga (0.781, 0.281, 0.561)
Ga (0.500, 0.812, 0.000)
Ga (0.500, 0.188, 0.000)

Properties
ΔE_f ... -49.20 kJ per mole of atoms
Symmetry ... Immm (71)

6.
A plane-wave DFT calculation with PBE was carried out for an optimized crystal structure of ErZn2Ga4.

Cell: 4.977 6.100 6.100 Å, 58.30 59.84 59.84°
Sites, in units of the cell vectors:
Er (0.000, 0.000, 0.000)
Zn (0.796, 0.469, 0.469)
Zn (0.204, 0.531, 0.531)
Ga (0.684, 0.585, 0.029)
Ga (0.316, 0.415, 0.971)
Ga (0.684, 0.029, 0.585)
Ga (0.316, 0.971, 0.415)

Properties
ΔE_f ... -22.07 kJ per mole of atoms
Symmetry ... C2/m (12)

7.
A plane-wave DFT calculation with PBE was carried out for an optimized crystal structure of Er5ZnGa2.

Cell: 5.271 5.777 15.406 Å, 90.00 90.00 117.14°
Sites, in units of the cell vectors:
Er (0.921, 0.842, 0.900)
Er (0.921, 0.842, 0.600)
Er (0.387, 0.775, 0.428)
Er (0.387, 0.775, 0.072)
Er (0.659, 0.317, 0.250)
Er (0.341, 0.683, 0.750)
Er (0.613, 0.225, 0.572)
Er (0.613, 0.225, 0.928)
Er (0.079, 0.158, 0.100)
Er (0.079, 0.158, 0.400)
Zn (0.698, 0.397, 0.750)
Zn (0.302, 0.603, 0.250)
Ga (0.774, 0.547, 0.418)
Ga (0.774, 0.547, 0.082)
Ga (0.226, 0.453, 0.582)
Ga (0.226, 0.453, 0.918)

Properties
ΔE_f ... -16.46 kJ per mole of atoms
Symmetry ... Cmcm (63)

8.
A plane-wave DFT calculation with PBE was carried out for an optimized crystal structure of Er3ZnGa.

Cell: 6.382 9.411 9.411 Å, 60.76 90.01 90.01°
Sites, in units of the cell vectors:
Er (0.500, 0.310, 0.811)
Er (0.000, 0.189, 0.690)
Er (0.500, 0.690, 0.189)
Er (0.000, 0.811, 0.310)
Er (0.000, 0.780, 0.926)
Er (0.500, 0.074, 0.220)
Er (0.000, 0.220, 0.074)
Er (0.500, 0.926, 0.780)
Er (0.499, 0.283, 0.420)
Er (0.001, 0.580, 0.717)
Er (0.501, 0.717, 0.580)
Er (0.999, 0.420, 0.283)
Zn (0.695, 0.501, 0.999)
Zn (0.805, 0.001, 0.499)
Zn (0.305, 0.499, 0.001)
Zn (0.195, 0.999, 0.501)
Ga (0.250, 0.000, 0.000)
Ga (0.750, 0.000, 0.000)
Ga (0.250, 0.500, 0.500)
Ga (0.750, 0.500, 0.500)

Properties
ΔE_f ... -31.18 kJ per mole of atoms
Symmetry ... C2/c (15)

9.
A plane-wave DFT calculation with PBE was carried out for an optimized crystal structure of Er2ZnGa4.

Cell: 5.491 5.491 6.252 Å, 103.25 103.25 118.56°
Sites, in units of the cell vectors:
Er (0.643, 0.643, 0.287)
Er (0.357, 0.357, 0.713)
Zn (0.000, 0.000, 0.000)
Ga (0.750, 0.250, 0.500)
Ga (0.250, 0.750, 0.500)
Ga (0.500, 0.000, 0.000)
Ga (0.000, 0.500, 0.000)

Properties
ΔE_f ... -25.01 kJ per mole of atoms
Symmetry ... Fmmm (69)

10.
A plane-wave DFT calculation with PBE was carried out for an optimized crystal structure of ErZnGa.

Cell: 4.486 4.486 4.486 Å, 60.00 60.00 60.00°
Sites, in units of the cell vectors:
Zn (0.250, 0.250, 0.250)
Ga (0.500, 0.500, 0.500)
Er (0.000, 0.000, 0.000)

Properties
ΔE_f ... -38.36 kJ per mole of atoms
Symmetry ... F-43m (216)

11.
A plane-wave DFT calculation with PBE was carried out for an optimized crystal structure of Er3Zn8Ga3.

Cell: 4.252 8.104 8.104 Å, 72.64 74.79 74.79°
Sites, in units of the cell vectors:
Er (0.500, 0.500, 0.500)
Er (0.809, 0.191, 0.191)
Er (0.191, 0.809, 0.809)
Zn (0.643, 0.085, 0.629)
Zn (0.357, 0.915, 0.371)
Zn (0.643, 0.629, 0.085)
Zn (0.357, 0.371, 0.915)
Zn (0.838, 0.791, 0.533)
Zn (0.162, 0.209, 0.467)
Zn (0.838, 0.533, 0.791)
Zn (0.162, 0.467, 0.209)
Ga (0.500, 0.000, 0.000)
Ga (0.000, 0.791, 0.209)
Ga (0.000, 0.209, 0.791)

Properties
ΔE_f ... -35.36 kJ per mole of atoms
Symmetry ... Immm (71)

Q: Look up the ΔE_f of the sixth one.
A: -22.07 kJ per mole of atoms

Q: ΔE_f of number 3 (ErZnGa)?
A: -52.82 kJ per mole of atoms